[1]
First-principles (PBE) data for a relaxed Sm2TlBi crystal, as listed in Alexandria via LeMat-Bulk.

Geometry as CIF:
```
data_Sm2TlBi
_space_group_name_H-M_alt 'P 1'
_space_group_IT_number 1
_space_group_name_Hall 'P 1'
_cell_length_a 8.814
_cell_length_b 8.814
_cell_length_c 8.814
_cell_angle_alpha 28.07
_cell_angle_beta 28.07
_cell_angle_gamma 28.07
loop_
_atom_site_label
_atom_site_type_symbol
_atom_site_fract_x
_atom_site_fract_y
_atom_site_fract_z
Sm1 Sm 0.000 0.000 0.000
Sm2 Sm 0.178 0.178 0.178
Tl1 Tl 0.422 0.422 0.422
Bi1 Bi 0.590 0.590 0.590
```

SG: No. 160
Total magnetization: 0.000 μB/cell
Uncorrected energy: -4.38 eV/atom
Excess energy over the best structure of this formula in the dataset: 160 meV per atom
Energy of formation from the pure elements: -463.0 meV per atom

=====

[2]
First-principles (PBE) data for a relaxed Pa8GaTc5 crystal, as listed in Alexandria via LeMat-Bulk.

Geometry as CIF:
```
data_Pa8GaTc5
_space_group_name_H-M_alt 'P 1'
_space_group_IT_number 1
_space_group_name_Hall 'P 1'
_cell_length_a 7.393
_cell_length_b 7.393
_cell_length_c 7.393
_cell_angle_alpha 107.75
_cell_angle_beta 107.75
_cell_angle_gamma 112.96
loop_
_atom_site_label
_atom_site_type_symbol
_atom_site_fract_x
_atom_site_fract_y
_atom_site_fract_z
Pa1 Pa 0.012 0.887 0.262
Pa2 Pa 0.102 0.380 0.621
Pa3 Pa 0.113 0.375 0.124
Pa4 Pa 0.251 0.988 0.876
Pa5 Pa 0.518 0.898 0.278
Pa6 Pa 0.620 0.240 0.722
Pa7 Pa 0.625 0.749 0.738
Pa8 Pa 0.760 0.482 0.379
Ga1 Ga 0.500 0.500 0.000
Tc1 Tc 0.250 0.750 0.500
Tc2 Tc 0.377 0.282 0.373
Tc3 Tc 0.718 0.091 0.095
Tc4 Tc 0.909 0.004 0.627
Tc5 Tc 0.996 0.623 0.905
```

SG: No. 82
Total magnetization: 0.000 μB/cell
Uncorrected energy: -9.49 eV/atom
Energy of formation from the pure elements: -144.9 meV per atom

=====

[3]
First-principles (PBE) data for a relaxed LiAgBF6 crystal, as listed in Alexandria via LeMat-Bulk.

Geometry as CIF:
```
data_LiAgBF6
_space_group_name_H-M_alt 'P 1'
_space_group_IT_number 1
_space_group_name_Hall 'P 1'
_cell_length_a 4.545
_cell_length_b 5.387
_cell_length_c 5.493
_cell_angle_alpha 81.35
_cell_angle_beta 85.34
_cell_angle_gamma 67.10
loop_
_atom_site_label
_atom_site_type_symbol
_atom_site_fract_x
_atom_site_fract_y
_atom_site_fract_z
Li1 Li 0.000 0.000 0.000
Ag1 Ag 0.528 0.951 0.503
B1 B 0.316 0.420 0.967
F1 F 0.049 0.573 0.100
F2 F 0.223 0.254 0.834
F3 F 0.245 0.882 0.283
F4 F 0.444 0.584 0.808
F5 F 0.569 0.243 0.134
F6 F 0.853 0.008 0.691
```

SG: No. 1
Formation energy from raw total energies: -215.20 kJ/mol of atoms
Total magnetization: 0.958 μB/cell
Uncorrected energy: -4.75 eV/atom

=====

[4]
First-principles (PBE) data for a relaxed Tm2CdPd9 crystal, as listed in Alexandria via LeMat-Bulk.

Geometry as CIF:
```
data_Tm2CdPd9
_space_group_name_H-M_alt 'P 1'
_space_group_IT_number 1
_space_group_name_Hall 'P 1'
_cell_length_a 4.068
_cell_length_b 4.068
_cell_length_c 12.264
_cell_angle_alpha 90.00
_cell_angle_beta 90.00
_cell_angle_gamma 90.00
loop_
_atom_site_label
_atom_site_type_symbol
_atom_site_fract_x
_atom_site_fract_y
_atom_site_fract_z
Tm1 Tm 0.000 0.000 0.169
Tm2 Tm 0.000 0.000 0.831
Cd1 Cd 0.000 0.000 0.500
Pd1 Pd 0.000 0.500 0.000
Pd2 Pd 0.000 0.500 0.335
Pd3 Pd 0.000 0.500 0.665
Pd4 Pd 0.500 0.000 0.000
Pd5 Pd 0.500 0.000 0.335
Pd6 Pd 0.500 0.000 0.665
Pd7 Pd 0.500 0.500 0.166
Pd8 Pd 0.500 0.500 0.500
Pd9 Pd 0.500 0.500 0.834
```

SG: No. 123
Total magnetization: 0.000 μB/cell
Uncorrected energy: -5.40 eV/atom
Energy of formation from the pure elements: -683.8 meV per atom

=====

[5]
First-principles (PBE) data for a relaxed Sm4Ni2Br5 crystal, as listed in Alexandria via LeMat-Bulk.

Geometry as CIF:
```
data_Sm4Ni2Br5
_space_group_name_H-M_alt 'P 1'
_space_group_IT_number 1
_space_group_name_Hall 'P 1'
_cell_length_a 10.419
_cell_length_b 10.419
_cell_length_c 10.419
_cell_angle_alpha 158.23
_cell_angle_beta 132.17
_cell_angle_gamma 53.12
loop_
_atom_site_label
_atom_site_type_symbol
_atom_site_fract_x
_atom_site_fract_y
_atom_site_fract_z
Sm1 Sm 0.191 0.191 0.000
Sm2 Sm 0.213 0.500 0.713
Sm3 Sm 0.787 0.500 0.287
Sm4 Sm 0.809 0.809 0.000
Ni1 Ni 0.059 0.059 0.000
Ni2 Ni 0.941 0.941 0.000
Br1 Br 0.106 0.331 0.775
Br2 Br 0.444 0.669 0.775
Br3 Br 0.500 0.000 0.500
Br4 Br 0.556 0.331 0.225
Br5 Br 0.894 0.669 0.225
```

SG: No. 71
Formation energy from raw total energies: -105.27 kJ/mol of atoms
Total magnetization: 0.657 μB/cell
Uncorrected energy: -4.62 eV/atom

=====

[6]
First-principles (PBE) data for a relaxed HgRu2 crystal, as listed in Alexandria via LeMat-Bulk.

Geometry as CIF:
```
data_HgRu2
_space_group_name_H-M_alt 'P 1'
_space_group_IT_number 1
_space_group_name_Hall 'P 1'
_cell_length_a 4.468
_cell_length_b 4.468
_cell_length_c 2.838
_cell_angle_alpha 90.00
_cell_angle_beta 90.00
_cell_angle_gamma 120.00
loop_
_atom_site_label
_atom_site_type_symbol
_atom_site_fract_x
_atom_site_fract_y
_atom_site_fract_z
Hg1 Hg 0.000 0.000 0.000
Ru1 Ru 0.333 0.667 0.500
Ru2 Ru 0.667 0.333 0.500
```

SG: No. 191
Total magnetization: 0.000 μB/cell
Uncorrected energy: -5.66 eV/atom
Excess energy over the best structure of this formula in the dataset: 311 meV per atom
Energy of formation from the pure elements: 622.9 meV per atom